Record 1
Crystalline BaCaIr4 at its relaxed geometry, computed with PBE.

Cell: 7.777 7.777 7.777 Å, 90.00 90.00 90.00°
Space group F-43m (No. 216)
Asymmetric unit:
Ba  0.000  0.000  0.000 (multiplicity 4)
Ca  0.250  0.250  0.750 (multiplicity 4)
Ir  0.124  0.124  0.376 (multiplicity 16)

Output
Final energy: -6.740 eV per atom
Magnetization: 0.00 Bohr magnetons per cell

Record 2
Crystalline BaCa6Ir2 at its relaxed geometry, computed with PBE.

Cell: 4.677 11.405 12.099 Å, 90.00 90.00 90.00°
Space group Immm (No. 71)
Asymmetric unit:
Ba  0.000  0.000  0.000 (multiplicity 2)
Ca  0.000  0.248  0.363 (multiplicity 8)
Ca  0.000  0.500  0.135 (multiplicity 4)
Ir  0.000  0.285  0.000 (multiplicity 4)

Output
Final energy: -3.673 eV per atom
Magnetization: 0.00 Bohr magnetons per cell

Record 3
Crystalline BaCa4Ir at its relaxed geometry, computed with PBE.

Cell: 9.450 9.450 9.450 Å, 90.00 90.00 90.00°
Space group F-43m (No. 216)
Asymmetric unit:
Ba  0.000  0.000  0.000 (multiplicity 4)
Ca  0.123  0.123  0.623 (multiplicity 16)
Ir  0.250  0.250  0.250 (multiplicity 4)

Output
Excess energy over the best structure of this formula in the dataset: 738.3 meV per atom
Magnetization: 0.00 Bohr magnetons per cell

> magnetization of number 1 (BaCaIr4)?

0.00 Bohr magnetons per cell